{"formula": "SiTcSb2", "functional": "PBE", "state": "optimized geometry", "e_form_raw_ev_per_atom": 0.61, "spacegroup": "No. 216", "magmom_total_mub_per_cell": 0.000, "dft_energy_ev_per_atom": -5.39, "cell": [[-3.072, 0.133, 3.667], [2.944, -2.768, 2.564], [1.614, 4.077, -1.917]], "species": ["Sb", "Sb", "Si", "Tc"], "frac_coords": [[0.000, 0.000, 0.000], [0.250, 0.750, 0.500], [0.500, 0.500, 0.000], [0.750, 0.250, 0.500]]}